! AsP2Br | the Alexandria database | PBE | relaxed; values from VASP
! Formation energy from raw total energies in eV per atom: 0.604
! ρ in g/cm3: 3.8
! Magnetic moment in Bohr magnetons per cell: 0.00
! Crystal system: orthorhombic
! Space-group type: Cmmm
&SYSTEM
  ibrav = 0, nat = 4, ntyp = 3
/
ATOMIC_SPECIES
P 30.97 P.upf
As 74.92 As.upf
Br 79.90 Br.upf
CELL_PARAMETERS angstrom
-1.2591 3.6690 0.8911
-2.1395 -2.9655 -1.5714
-1.8532 -2.3055 6.8743
ATOMIC_POSITIONS crystal
P 0.0000 0.0000 0.0342
P 0.0000 0.0000 0.4658
As 0.5000 0.5000 0.2500
Br 0.5000 0.5000 0.7500